1.
Here is MgCo2SnPt after structural relaxation from the Alexandria database. Energies are from PBE.

a b c (Å): 4.601 5.085 4.601
angles (deg): 90.00 90.00 90.00
Element x y z (fractional)
Mg: 0.000 0.500 0.000
Co: 0.000 0.000 0.500
Co: 0.500 0.000 0.000
Sn: 0.000 0.000 0.000
Pt: 0.500 0.500 0.500

2.
Here is Tm8AsPb2 after structural relaxation from the Alexandria database. Energies are from PBE.

a b c (Å): 5.028 6.752 9.324
angles (deg): 86.85 105.64 90.00
Element x y z (fractional)
Tm: 0.409 0.428 0.817
Tm: 0.652 0.083 0.305
Tm: 0.786 0.637 0.572
Tm: 0.027 0.242 0.054
Tm: 0.214 0.363 0.428
Tm: 0.348 0.917 0.695
Tm: 0.591 0.572 0.183
Tm: 0.973 0.758 0.946
As: 0.500 0.000 0.000
Pb: 0.830 0.179 0.659
Pb: 0.170 0.821 0.341

| no. | formation energy from the elements (meV per atom) | total energy (eV/atom) |
| --- | --- | --- |
| 1 | 1221 | -3.949 |
| 2 | -410 | -4.759 |